Record 1
Below is an optimized crystal structure of CuNiRh, with properties calculated at the GGA-PBE level.

Output
**ΔE to the lowest computed polymorph**: 0.356 eV/atom
**Symmetry**: No. 216
**DFT total energy**: -5.339 eV/atom
**Energy of formation from the pure elements**: 0.404 eV/atom
**Calculated density**: 8.595 g/cm3
**Size of the total moment**: 1.89 μB per cell

Unit cell a=3.948 b=3.948 c=3.948 alpha=60.00 beta=60.00 gamma=60.00
Sites, in units of the cell vectors:
Cu: 0.000 0.000 0.000
Ni: 0.250 0.250 0.250
Rh: 0.500 0.500 0.500



Record 2
Below is an optimized crystal structure of LiDyHgGe, with properties calculated at the GGA-PBE level.

Output
**Symmetry**: No. 216
**DFT total energy**: -3.362 eV/atom
**Energy of formation from the pure elements**: -0.504 eV/atom
**Calculated density**: 8.610 g/cm3
**Size of the total moment**: 0.00 μB per cell

Unit cell a=4.943 b=4.943 c=4.943 alpha=60.00 beta=60.00 gamma=60.00
Sites, in units of the cell vectors:
Li: 0.000 0.000 0.000
Dy: 0.500 0.500 0.500
Hg: 0.250 0.250 0.250
Ge: 0.750 0.750 0.750



Record 3
Below is an optimized crystal structure of CsCdRe, with properties calculated at the GGA-PBE level.

Output
**ΔE to the lowest computed polymorph**: 0.238 eV/atom
**Symmetry**: No. 8
**DFT total energy**: -4.002 eV/atom
**Energy of formation from the pure elements**: 0.737 eV/atom
**Calculated density**: 7.115 g/cm3
**Size of the total moment**: 0.00 μB per cell

Unit cell a=7.255 b=7.255 c=9.104 alpha=122.18 beta=122.18 gamma=30.27
Sites, in units of the cell vectors:
Cs: 0.000 0.000 0.000
Cs: 0.185 0.185 0.781
Cd: 0.387 0.387 0.552
Cd: 0.694 0.694 0.397
Re: 0.473 0.473 0.343
Re: 0.854 0.854 0.265



Question: Which of these has the highest calculated density?
Answer: LiDyHgGe